(1)
The following is a DFT calculation (SCAN) of Ta2TlNi at its PBEsol-relaxed geometry.

Geometry as CIF:
```
data_Ta2TlNi
_cell_length_a 3.339
_cell_length_b 3.339
_cell_length_c 6.110
_cell_angle_alpha 90.00
_cell_angle_beta 90.00
_cell_angle_gamma 90.00
_space_group_name_H-M_alt 'P 4 m m'
_space_group_IT_number 99
loop_
_space_group_symop_operation_xyz
'x,y,z'
'-y,x,z'
'-x,-y,z'
'y,-x,z'
'-x,y,z'
'y,x,z'
'x,-y,z'
'-y,-x,z'
loop_
_atom_site_label
_atom_site_type_symbol
_atom_site_fract_x
_atom_site_fract_y
_atom_site_fract_z
Ta1 Ta 0.000 0.000 0.000
Ta2 Ta 0.500 0.500 0.236
Tl1 Tl 0.000 0.000 0.529
Ni1 Ni 0.500 0.500 0.775
```

formation energy: 0.272 eV per atom
energy above the lowest structure with this stoichiometry: 0.163 eV/f.u.

(2)
The following is a DFT calculation (SCAN) of Ta2TlNi at its PBEsol-relaxed geometry.

Geometry as CIF:
```
data_Ta2TlNi
_cell_length_a 3.538
_cell_length_b 4.248
_cell_length_c 8.831
_cell_angle_alpha 90.00
_cell_angle_beta 90.00
_cell_angle_gamma 90.00
_space_group_name_H-M_alt 'I m m m'
_space_group_IT_number 71
_space_group_name_Hall '-I 2 2'
loop_
_atom_site_label
_atom_site_type_symbol
_atom_site_fract_x
_atom_site_fract_y
_atom_site_fract_z
Ta1 Ta 0.000 0.000 0.237
Tl1 Tl 0.000 0.500 0.000
Ni1 Ni 0.000 0.500 0.500
```

formation energy: 0.232 eV per atom
energy above the lowest structure with this stoichiometry: 0.000 eV/f.u.